This record from the Alexandria database describes a relaxed SrSc2MoPb crystal. The functional is PBE.

Computed properties:
Mass density = 5.96 g/cm³
Symmetry = P4/mmm
Crystal system = tetragonal
M_tot = 0.0 μB/f.u.
Formation enthalpy at 0 K = 1.647 eV/atom
Uncorrected energy = -20.650 eV per cell

Lattice parameters (Å, degrees): 5.279 4.807 5.279 90.00 90.00 90.00
Atoms (fractional coordinates):
1 Pb 0.500 0.500 0.500
2 Sr 0.000 0.000 0.000
3 Mo 0.000 0.500 0.000
4 Sc 0.000 0.000 0.500
5 Sc 0.500 0.000 0.000

---

This record from the Alexandria database describes a relaxed Sc2MoPbW crystal. The functional is PBE.

Computed properties:
Mass density = 7.16 g/cm³
Symmetry = P4/mmm
Crystal system = tetragonal
M_tot = 0.3 μB/f.u.
Formation enthalpy at 0 K = 2.009 eV/atom
Uncorrected energy = -30.111 eV per cell

Lattice parameters (Å, degrees): 5.145 5.051 5.145 90.00 90.00 90.00
Atoms (fractional coordinates):
1 Pb 0.000 0.000 0.000
2 Sc 0.000 0.000 0.500
3 Sc 0.500 0.000 0.000
4 Mo 0.500 0.500 0.500
5 W 0.000 0.500 0.000

---

This record from the Alexandria database describes a relaxed MoPb2Se crystal. The functional is PBE.

Computed properties:
Mass density = 9.71 g/cm³
Symmetry = Immm
Crystal system = orthorhombic
M_tot = 0.9 μB/f.u.
Uncorrected energy = -20.446 eV per cell
Formation energy (no corrections) = 31 kJ/mol of atoms

Lattice parameters (Å, degrees): 7.912 7.912 7.912 156.10 149.80 38.87
Atoms (fractional coordinates):
1 Mo 0.750 0.250 0.500
2 Pb 0.925 0.925 0.000
3 Pb 0.575 0.575 0.000
4 Se 0.250 0.750 0.500

---

This record from the Alexandria database describes a relaxed MoPb2Se crystal. The functional is PBE.

Computed properties:
Mass density = 6.99 g/cm³
Symmetry = I-42d
Crystal system = tetragonal
M_tot = 2.2 μB/f.u.
Uncorrected energy = -36.349 eV per cell
Formation energy (no corrections) = 86 kJ/mol of atoms

Lattice parameters (Å, degrees): 6.564 6.564 7.988 65.74 65.74 90.00
Atoms (fractional coordinates):
1 Pb 0.642 0.125 0.250
2 Pb 0.108 0.625 0.250
3 Pb 0.375 0.358 0.750
4 Pb 0.875 0.892 0.750
5 Mo 0.000 0.000 0.000
6 Mo 0.750 0.250 0.500
7 Se 0.500 0.500 0.000
8 Se 0.250 0.750 0.500

---

This record from the Alexandria database describes a relaxed MoPbSe4 crystal. The functional is PBE.

Computed properties:
Mass density = 7.34 g/cm³
Symmetry = F-43m
Crystal system = cubic
M_tot = 4.5 μB/f.u.
Uncorrected energy = -23.284 eV per cell
Formation energy (no corrections) = 84 kJ/mol of atoms

Lattice parameters (Å, degrees): 5.829 5.829 5.829 60.00 60.00 60.00
Atoms (fractional coordinates):
1 Mo 0.750 0.750 0.750
2 Pb 0.000 0.000 0.000
3 Se 0.872 0.376 0.376
4 Se 0.376 0.376 0.872
5 Se 0.376 0.872 0.376
6 Se 0.376 0.376 0.376

---

This record from the Alexandria database describes a relaxed MoPb2Se crystal. The functional is PBE.

Computed properties:
Mass density = 10.01 g/cm³
Symmetry = R3m
Crystal system = trigonal
M_tot = 0.0 μB/f.u.
Uncorrected energy = -21.819 eV per cell
Formation energy (no corrections) = -2 kJ/mol of atoms

Lattice parameters (Å, degrees): 10.368 10.368 10.368 18.48 18.48 18.48
Atoms (fractional coordinates):
1 Mo 0.759 0.759 0.759
2 Pb 0.015 0.015 0.015
3 Pb 0.247 0.247 0.247
4 Se 0.478 0.478 0.478

---

This record from the Alexandria database describes a relaxed Mo15Pb2Se19 crystal. The functional is PBE.

Computed properties:
Mass density = 6.83 g/cm³
Symmetry = R-3c
Crystal system = trigonal
M_tot = 0.0 μB/f.u.
Uncorrected energy = -508.598 eV per cell
Formation energy (no corrections) = -49 kJ/mol of atoms

Lattice parameters (Å, degrees): 9.784 9.784 20.458 76.17 76.17 60.00
Atoms (fractional coordinates):
1 Mo 0.128 0.000 0.058
2 Mo 0.000 0.814 0.058
3 Mo 0.814 0.128 0.058
4 Mo 0.314 0.500 0.558
5 Mo 0.500 0.628 0.558
6 Mo 0.628 0.314 0.558
7 Mo 0.872 0.000 0.942
8 Mo 0.000 0.186 0.942
9 Mo 0.186 0.872 0.942
10 Mo 0.686 0.500 0.442
11 Mo 0.500 0.372 0.442
12 Mo 0.372 0.686 0.442
13 Mo 0.950 0.777 0.635
14 Mo 0.777 0.637 0.635
15 Mo 0.637 0.950 0.635
16 Mo 0.137 0.277 0.135
17 Mo 0.277 0.450 0.135
18 Mo 0.450 0.137 0.135
19 Mo 0.050 0.223 0.365
20 Mo 0.223 0.363 0.365
21 Mo 0.363 0.050 0.365
22 Mo 0.863 0.723 0.865
23 Mo 0.723 0.550 0.865
24 Mo 0.550 0.863 0.865
25 Mo 0.750 0.910 0.750
26 Mo 0.910 0.590 0.750
27 Mo 0.590 0.750 0.750
28 Mo 0.090 0.410 0.250
29 Mo 0.410 0.250 0.250
30 Mo 0.250 0.090 0.250
31 Pb 0.872 0.872 0.384
32 Pb 0.372 0.372 0.884
33 Pb 0.128 0.128 0.616
34 Pb 0.628 0.628 0.116
35 Se 0.310 0.696 0.051
36 Se 0.696 0.943 0.051
37 Se 0.943 0.310 0.051
38 Se 0.443 0.196 0.551
39 Se 0.196 0.810 0.551
40 Se 0.810 0.443 0.551
41 Se 0.690 0.304 0.949
42 Se 0.304 0.057 0.949
43 Se 0.057 0.690 0.949
44 Se 0.557 0.804 0.449
45 Se 0.804 0.190 0.449
46 Se 0.190 0.557 0.449
47 Se 0.817 0.081 0.644
48 Se 0.081 0.458 0.644
49 Se 0.458 0.817 0.644
50 Se 0.958 0.581 0.144
51 Se 0.581 0.317 0.144
52 Se 0.317 0.958 0.144
53 Se 0.183 0.919 0.356
54 Se 0.919 0.542 0.356
55 Se 0.542 0.183 0.356
56 Se 0.042 0.419 0.856
57 Se 0.419 0.683 0.856
58 Se 0.683 0.042 0.856
59 Se 0.750 0.443 0.750
60 Se 0.443 0.057 0.750
61 Se 0.057 0.750 0.750
62 Se 0.557 0.943 0.250
63 Se 0.943 0.250 0.250
64 Se 0.250 0.557 0.250
65 Se 0.946 0.946 0.161
66 Se 0.446 0.446 0.661
67 Se 0.054 0.054 0.839
68 Se 0.554 0.554 0.339
69 Se 0.823 0.823 0.532
70 Se 0.323 0.323 0.032
71 Se 0.177 0.177 0.468
72 Se 0.677 0.677 0.968

---

This record from the Alexandria database describes a relaxed MoPb2Se crystal. The functional is PBE.

Computed properties:
Mass density = 10.23 g/cm³
Symmetry = I4/mmm
Crystal system = tetragonal
M_tot = 2.3 μB/f.u.
Uncorrected energy = -19.291 eV per cell
Formation energy (no corrections) = 59 kJ/mol of atoms

Lattice parameters (Å, degrees): 5.752 5.752 5.752 134.39 134.39 66.48
Atoms (fractional coordinates):
1 Mo 0.750 0.250 0.500
2 Pb 0.000 0.000 0.000
3 Pb 0.500 0.500 0.000
4 Se 0.250 0.750 0.500

---

This record from the Alexandria database describes a relaxed MoPb2Se crystal. The functional is PBE.

Computed properties:
Mass density = 10.75 g/cm³
Symmetry = P2/m
Crystal system = monoclinic
M_tot = 0.0 μB/f.u.
Uncorrected energy = -19.503 eV per cell
Formation energy (no corrections) = 54 kJ/mol of atoms

Lattice parameters (Å, degrees): 3.684 3.667 7.724 60.79 90.00 90.00
Atoms (fractional coordinates):
1 Mo 0.500 0.750 0.750
2 Pb 0.000 0.015 0.980
3 Pb 0.000 0.485 0.520
4 Se 0.500 0.250 0.250

---

This record from the Alexandria database describes a relaxed MoPb2Se crystal. The functional is PBE.

Computed properties:
Mass density = 10.31 g/cm³
Symmetry = P4mm
Crystal system = tetragonal
M_tot = 0.0 μB/f.u.
Uncorrected energy = -21.410 eV per cell
Formation energy (no corrections) = 8 kJ/mol of atoms

Lattice parameters (Å, degrees): 3.285 3.285 8.795 90.00 90.00 90.02
Atoms (fractional coordinates):
1 Mo 0.500 0.500 0.702
2 Pb 0.000 0.000 0.947
3 Pb 0.500 0.500 0.280
4 Se 0.000 0.000 0.571